BaSrTa2O7: relaxed, PBE.

For the total moment, the calculation gives 0.000 μB/atom. The calculation puts the uncorrected formation energy at -3.047 eV/atom. For the energy, the calculation gives -0.63833 Ry per atom. Its space group is No. 71.

a b c (Å): 11.195 11.195 11.195
angles (deg): 159.27 138.65 46.69
Positions (direct):
O1 0.989 0.192 0.797
Ta1 0.351 0.102 0.248
O2 0.845 0.592 0.253
Ta2 0.649 0.898 0.752
Ta3 0.854 0.102 0.752
Ta4 0.146 0.898 0.248
O3 0.288 0.000 0.288
O4 0.395 0.192 0.203
O5 0.388 0.888 0.500
O6 0.011 0.808 0.203
O7 0.339 0.592 0.747
Sr1 0.000 0.500 0.500
O8 0.155 0.408 0.747
O9 0.921 0.921 0.000
O10 0.661 0.408 0.253
O11 0.712 0.000 0.712
O12 0.605 0.808 0.797
Ba1 0.762 0.262 0.500
Ba2 0.238 0.738 0.500
O13 0.079 0.079 0.000
Sr2 0.500 0.500 0.000
O14 0.612 0.112 0.500

***

ScTaAs2: relaxed, PBE.

For the total moment, the calculation gives 0.000 μB/atom. Its excess energy over the best structure of this formula in the dataset is 828 meV/atom. The value obtained for the energy of formation from the pure elements is -49.5 meV per atom. For the energy, the calculation gives -0.50863 Ry per atom. Its space group is No. 160.

a b c (Å): 8.581 8.581 8.581
angles (deg): 22.17 22.17 22.17
Positions (direct):
Ta1 0.741 0.741 0.741
As1 0.004 0.004 0.004
As2 0.253 0.253 0.253
Sc1 0.501 0.501 0.501

***

TcAg: relaxed, PBE.

For the total moment, the calculation gives 0.000 μB/atom. Its excess energy over the best structure of this formula in the dataset is 350 meV/atom. The value obtained for the energy of formation from the pure elements is 522.3 meV per atom. For the energy, the calculation gives -0.44733 Ry per atom. Its space group is No. 63.

a b c (Å): 2.750 6.480 3.921
angles (deg): 90.00 90.00 77.75
Positions (direct):
Tc1 0.793 0.415 0.250
Ag1 0.573 0.853 0.250
Tc2 0.207 0.585 0.750
Ag2 0.427 0.147 0.750

***

HgTe2Pt: relaxed, PBE.

For the total moment, the calculation gives 0.000 μB/atom. The calculation puts the uncorrected formation energy at -0.205 eV/atom. For the energy, the calculation gives -0.24705 Ry per atom. Its space group is No. 8.

a b c (Å): 6.550 6.550 5.127
angles (deg): 72.87 72.87 35.31
Positions (direct):
Hg1 0.546 0.546 0.422
Pt1 0.323 0.323 0.363
Te1 0.897 0.897 0.013
Te2 0.734 0.734 0.702

***

LiThHgAu: relaxed, PBE.

For the total moment, the calculation gives 0.000 μB/atom. The value obtained for the energy of formation from the pure elements is -427.9 meV per atom. For the energy, the calculation gives -0.26872 Ry per atom. Its space group is No. 216.

a b c (Å): 5.080 5.080 5.080
angles (deg): 60.00 60.00 60.00
Positions (direct):
Hg1 0.500 0.500 0.500
Au1 0.000 0.000 0.000
Li1 0.250 0.250 0.250
Th1 0.750 0.750 0.750

***

Cr2BBrCl: relaxed, PBE.

For the total moment, the calculation gives 0.016 μB/atom. The calculation puts the uncorrected formation energy at 2.034 eV/atom. For the energy, the calculation gives -0.28331 Ry per atom. Its space group is No. 123.

a b c (Å): 4.578 4.094 4.578
angles (deg): 90.00 90.00 90.00
Each line ends with the local moment (μB).
Positions (direct):
Cl1 0.500 0.500 0.500  -0.03
Br1 0.000 0.000 0.000  0.01
Cr1 0.500 0.000 0.000  -0.09
Cr2 0.000 0.000 0.500  -0.03
B1 0.000 0.500 0.000  0.05

***

BiSbTe: relaxed, PBE.

For the total moment, the calculation gives 0.000 μB/atom. The calculation puts the uncorrected formation energy at 0.023 eV/atom. Its excess energy over the best structure of this formula in the dataset is 85 meV/atom. For the energy, the calculation gives -0.27135 Ry per atom. Its space group is No. 166.

a b c (Å): 4.644 4.644 11.849
angles (deg): 78.70 78.70 60.00
Positions (direct):
Sb1 0.147 0.147 0.559
Bi1 0.578 0.578 0.267
Te1 0.288 0.288 0.136
Te2 0.712 0.712 0.864
Sb2 0.853 0.853 0.441
Bi2 0.422 0.422 0.733

***

Fe2AgBr: relaxed, PBE.

For the total moment, the calculation gives 1.582 μB/atom. The calculation puts the uncorrected formation energy at 0.829 eV/atom. Its excess energy over the best structure of this formula in the dataset is 488 meV/atom. For the energy, the calculation gives -0.33317 Ry per atom. Its space group is No. 122.

a b c (Å): 7.033 7.033 5.769
angles (deg): 52.44 52.44 90.00
Each line ends with the local moment (μB).
Positions (direct):
Fe1 0.606 0.125 0.250  3.01
Br1 0.500 0.500 0.000  0.14
Fe2 0.875 0.856 0.750  3.05
Fe3 0.144 0.625 0.250  3.04
Ag1 0.750 0.250 0.500  0.04
Br2 0.250 0.750 0.500  0.14
Ag2 0.000 0.000 0.000  0.04
Fe4 0.375 0.394 0.750  3.02